A geometry-optimized TlHgH4 structure, computed with GGA-PBE.

Unit cell a=15.9292 b=8.3318 c=6.9113 alpha=129.88 beta=104.32 gamma=123.85
Fractional positions:
Tl 0.8106 0.8381 0.8962
Tl 0.1894 0.1619 0.1038
Hg 0.2550 0.5615 0.9203
Hg 0.7450 0.4385 0.0797
H 0.4019 0.2604 0.0567
H 0.8192 0.1530 0.7594
H 0.3053 0.9384 0.7281
H 0.7301 0.8520 0.4362
H 0.2699 0.1480 0.5638
H 0.6947 0.0616 0.2719
H 0.1808 0.8470 0.2406
H 0.5981 0.7396 0.9433

electronic total energy	-2.61	eV/atom